# 1
VASP calculation (PBE) on crystalline Ca3MgP at its relaxed geometry.

Summary:
* E above lowest polymorph: 0.098 eV per atom
* magnetization: 0.0 Bohr magnetons per cell
* E_form: -0.469 eV per atom

abc: 13.5296 9.5321 9.5321
angles: 92.54 128.90 51.10
Fractional coordinates of all 20 atoms:
P 0.9710 0.5928 0.2316
P 0.0290 0.4072 0.7684
P 0.5290 0.7316 0.0928
P 0.4710 0.2684 0.9072
Ca 0.0513 0.6357 0.6133
Ca 0.5513 0.8867 0.8643
Ca 0.1615 0.2422 0.1958
Ca 0.6401 0.6165 0.4777
Ca 0.8599 0.9777 0.1165
Ca 0.4487 0.1133 0.1357
Ca 0.6615 0.3042 0.2578
Ca 0.1401 0.0223 0.8835
Ca 0.9487 0.3643 0.3867
Ca 0.3599 0.3835 0.5223
Ca 0.3385 0.6958 0.7422
Ca 0.8385 0.7578 0.8042
Mg 0.7500 0.3815 0.8815
Mg 0.2500 0.6185 0.1185
Mg 0.2500 0.8466 0.3466
Mg 0.7500 0.1534 0.6534

# 2
VASP calculation (PBE) on crystalline Er12Tl6C at its relaxed geometry.

Summary:
* magnetization: 0.0 Bohr magnetons per cell
* E_form: -0.206 eV per atom

abc: 8.1705 8.1705 8.1705
angles: 94.84 94.84 94.84
Fractional coordinates of all 19 atoms:
Er 0.4645 0.7974 0.5829
Er 0.0751 0.2878 0.9688
Er 0.9688 0.0751 0.2878
Er 0.5829 0.4645 0.7974
Er 0.5355 0.2026 0.4171
Er 0.2878 0.9688 0.0751
Er 0.7974 0.5829 0.4645
Er 0.2026 0.4171 0.5355
Er 0.7122 0.0312 0.9249
Er 0.0312 0.9249 0.7122
Er 0.9249 0.7122 0.0312
Er 0.4171 0.5355 0.2026
Tl 0.8581 0.2543 0.6395
Tl 0.2543 0.6395 0.8581
Tl 0.6395 0.8581 0.2543
Tl 0.3605 0.1419 0.7457
Tl 0.7457 0.3605 0.1419
Tl 0.1419 0.7457 0.3605
C 0.0000 0.0000 0.0000

# 3
VASP calculation (PBE) on crystalline CaPm9Pr2 at its relaxed geometry.

Summary:
* magnetization: 0.0 Bohr magnetons per cell
* E_form: 0.037 eV per atom

abc: 5.2030 5.2030 15.5699
angles: 90.00 90.00 90.00
Fractional coordinates of all 12 atoms:
Pm 0.5000 0.0000 0.8290
Pm 0.0000 0.5000 0.1710
Pm 0.5000 0.5000 0.0000
Pm 0.5000 0.5000 0.6668
Pm 0.5000 0.0000 0.5000
Pm 0.5000 0.5000 0.3332
Pm 0.0000 0.5000 0.8290
Pm 0.5000 0.0000 0.1710
Pm 0.0000 0.5000 0.5000
Pr 0.0000 0.0000 0.3330
Pr 0.0000 0.0000 0.6670
Ca 0.0000 0.0000 0.0000

# 4
VASP calculation (PBE) on crystalline NaInSn at its relaxed geometry.

Summary:
* magnetization: 0.0 Bohr magnetons per cell
* E_form: -0.137 eV per atom

abc: 8.6500 6.3838 6.3838
angles: 133.79 132.63 47.37
Fractional coordinates of all 6 atoms:
Sn 0.4838 0.7600 0.3867
Sn 0.5162 0.3867 0.7600
In 0.8784 0.3702 0.7758
In 0.1216 0.7758 0.3702
Na 0.5000 0.0732 0.0732
Na 0.0000 0.5703 0.5703

# 5
VASP calculation (PBE) on crystalline Pm2Pr7Tm2 at its relaxed geometry.

Summary:
* E above lowest polymorph: 0.000 eV per atom
* magnetization: 0.0 Bohr magnetons per cell
* E_form: 0.130 eV per atom

abc: 8.2229 6.1610 8.2229
angles: 74.59 90.33 105.41
Fractional coordinates of all 11 atoms:
Pr 0.5870 0.8193 0.9540
Pr 0.9540 0.1807 0.5870
Pr 0.0000 0.0000 0.0000
Pr 0.0460 0.8193 0.4130
Pr 0.5733 0.7989 0.4267
Pr 0.4267 0.2011 0.5733
Pr 0.4130 0.1807 0.0460
Tm 0.7830 0.5000 0.7830
Tm 0.2170 0.5000 0.2170
Pm 0.7745 0.4026 0.2255
Pm 0.2255 0.5974 0.7745

# 6
VASP calculation (PBE) on crystalline Pr6In2Cu at its relaxed geometry.

Summary:
* magnetization: 0.0 Bohr magnetons per cell
* E_form: -0.222 eV per atom

abc: 4.4552 8.4988 8.4983
angles: 120.00 90.00 90.00
Fractional coordinates of all 9 atoms:
Cu 0.5000 0.0001 0.0000
Pr 0.0000 0.0000 0.2435
Pr 0.5000 0.0000 0.5853
Pr 0.0000 0.7565 0.7565
Pr 0.5000 0.4147 0.4147
Pr 0.0000 0.2434 0.0000
Pr 0.5000 0.5854 0.0000
In 0.0000 0.3334 0.6667
In 0.0000 0.6666 0.3333

# 7
VASP calculation (PBE) on crystalline Ce2TeP2 at its relaxed geometry.

Summary:
* energy relative to the elements, uncorrected: -5.6 eV per formula unit
* magnetization: 2.0 Bohr magnetons per cell

abc: 4.5097 4.5097 7.5838
angles: 80.17 80.17 66.47
Site moments in Bohr magnetons follow the coordinates.
Fractional coordinates of all 5 atoms:
P 0.2284 0.7716 0.5000  -0.02
P 0.7716 0.2284 0.5000  -0.02
Ce 0.3054 0.3054 0.2627  0.84
Ce 0.6946 0.6946 0.7373  0.84
Te 0.0000 0.0000 0.0000  -0.03

# 8
VASP calculation (PBE) on crystalline LiRe2Br at its relaxed geometry.

Summary:
* energy relative to the elements, uncorrected: 4.3 eV per formula unit
* E above lowest polymorph: 0.917 eV per atom
* magnetization: 0.0 Bohr magnetons per cell

abc: 9.2633 9.2633 9.2633
angles: 17.75 17.75 17.75
Fractional coordinates of all 4 atoms:
Li 0.7500 0.7500 0.7500
Br 0.2500 0.2500 0.2500
Re 0.5026 0.5026 0.5026
Re 0.9974 0.9974 0.9974

# 9
VASP calculation (PBE) on crystalline CuW2Au at its relaxed geometry.

Summary:
* E above lowest polymorph: 0.199 eV per atom
* magnetization: 0.0 Bohr magnetons per cell
* E_form: 0.425 eV per atom

abc: 4.8216 4.8216 4.8216
angles: 131.02 131.14 71.68
Fractional coordinates of all 4 atoms:
Au 0.5001 0.5001 0.0000
W 0.7498 0.2498 0.5000
W 0.0000 0.0000 0.0000
Cu 0.2501 0.7501 0.5000

# 10
VASP calculation (PBE) on crystalline Zr2FeNi at its relaxed geometry.

Summary:
* E above lowest polymorph: 0.163 eV per atom
* magnetization: 1.5 Bohr magnetons per cell
* E_form: -0.105 eV per atom

abc: 5.6875 5.6875 5.6875
angles: 147.89 136.20 55.34
Site moments in Bohr magnetons follow the coordinates.
Fractional coordinates of all 4 atoms:
Zr 0.2667 0.7667 0.5000  -0.04
Zr 0.9890 0.9890 0.0000  -0.25
Fe 0.5288 0.5288 0.0000  1.73
Ni 0.7155 0.2155 0.5000  0.11

# 11
VASP calculation (PBE) on crystalline Pr6DyHo4 at its relaxed geometry.

Summary:
* E above lowest polymorph: 0.000 eV per atom
* magnetization: 0.0 Bohr magnetons per cell
* E_form: 0.282 eV per atom

abc: 9.9894 9.9894 9.9894
angles: 55.78 141.37 141.37
Fractional coordinates of all 11 atoms:
Ho 0.0000 0.6420 0.0105
Ho 0.0000 0.0105 0.6420
Ho 0.3684 0.3580 0.3580
Ho 0.6316 0.9895 0.9895
Pr 0.0000 0.4586 0.8162
Pr 0.5000 0.0000 0.5000
Pr 0.3576 0.5414 0.5414
Pr 0.0000 0.8162 0.4586
Pr 0.5000 0.5000 0.0000
Pr 0.6424 0.1838 0.1838
Dy 0.0000 0.0000 0.0000

# 12
VASP calculation (PBE) on crystalline ZnInCl2 at its relaxed geometry.

Summary:
* energy relative to the elements, uncorrected: -1.5 eV per formula unit
* E above lowest polymorph: 0.299 eV per atom
* magnetization: 0.0 Bohr magnetons per cell

abc: 7.1518 7.1518 7.1518
angles: 146.70 146.70 47.80
Fractional coordinates of all 4 atoms:
Zn 0.7500 0.2500 0.5000
Cl 0.2500 0.7500 0.5000
Cl 0.0000 0.0000 0.0000
In 0.5000 0.5000 0.0000

- The highest magnetization belongs to which entry?
  Ce2TeP2